Record 1
K2MgNi | PBE-GGA | relaxed

abc: 20.4334 3.2953 4.1341
angles: 90.00 101.56 90.00
Last column: nearest neighbours and their distance in Å.
Space group C2/m (No. 12)
Unique sites:
K1 0.1490 0.0000 0.1490 (multiplicity 4)  2 K 3.30, 2 Ni 3.41, 2 Mg 3.63
Mg1 0.0000 0.0000 0.5000 (multiplicity 2)  4 Ni 2.64
Ni1 0.0000 0.5000 0.0000 (multiplicity 2)  4 Mg 2.64

Calculated values
Magnetization, μB per formula unit: 0.00

=====

Record 2
CaTlIrO6 | PBE-GGA | relaxed

abc: 5.6338 5.6338 8.8903
angles: 90.00 90.00 120.00
Last column: nearest neighbours and their distance in Å.
Space group P-31c (No. 163)
Unique sites:
Ca1 0.3333 0.6667 0.2500 (multiplicity 2)  6 O 2.30
Tl1 0.0000 0.0000 0.0000 (multiplicity 2)  6 O 2.35
Ir1 0.3333 0.6667 0.7500 (multiplicity 2)  6 O 1.92
O1 0.0500 0.3888 0.6274 (multiplicity 12)  1 Ir 1.92

Calculated values
Magnetization, μB per formula unit: 0.45

=====

Record 3
B3Rh4 | PBE-GGA | relaxed

abc: 11.0085 3.2326 4.9638
angles: 90.00 116.75 90.00
Last column: nearest neighbours and their distance in Å.
Space group C2/m (No. 12)
Unique sites:
B1 0.0000 0.0000 0.0000 (multiplicity 2)  6 Rh 2.13-2.18
B2 0.2420 0.5000 0.7555 (multiplicity 4)  6 Rh 2.10-2.23
Rh1 0.1241 0.0000 0.7710 (multiplicity 4)  4 B 2.10-2.14
Rh2 0.1267 0.5000 0.2803 (multiplicity 4)  5 B 2.12-2.23

Calculated values
Magnetization, μB per formula unit: 0.00

=====

Record 4
PmPrAu2 | PBE-GGA | relaxed

abc: 4.1844 4.1844 22.8249
angles: 90.00 90.00 120.00
Last column: nearest neighbours and their distance in Å.
Space group R-3m (No. 166, hexagonal axes)
Unique sites:
Pm1 0.0000 0.0000 0.0000 (multiplicity 3)  6 Au 3.05
Pr1 0.0000 0.0000 0.5000 (multiplicity 3)  6 Au 3.10
Au1 0.0000 0.0000 0.2517 (multiplicity 6)  3 Pm 3.05, 3 Pr 3.10

Calculated values
Magnetization, μB per formula unit: 0.00

=====

Record 5
Pu2TlHg2 | PBE-GGA | relaxed

abc: 5.0414 3.1758 8.2817
angles: 90.00 107.65 90.00
Last column: nearest neighbours and their distance in Å.
Space group P2/m (No. 10)
Unique sites:
Pu1 0.1102 0.0000 0.2203 (multiplicity 2)  3 Pu 3.18-3.48, 6 Hg 3.30-3.38, 4 Tl 3.45
Tl1 0.5000 0.5000 0.0000 (multiplicity 1)  2 Hg 3.17, 2 Tl 3.18, 8 Pu 3.45
Hg1 0.2995 0.5000 0.5989 (multiplicity 2)  4 Hg 2.96-3.18, 1 Tl 3.17, 4 Pu 3.30

Calculated values
Magnetization, μB per formula unit: 11.68

=====

Record 6
Be4Pd3Au2 | PBE-GGA | relaxed

abc: 7.0971 4.1019 7.7729
angles: 90.00 90.05 90.00
Last column: nearest neighbours and their distance in Å.
Space group C2/m (No. 12)
Unique sites:
Be1 0.9998 0.0000 0.1589 (multiplicity 4)  4 Pd 2.42-2.65, 1 Be 2.47, 3 Au 2.58
Be2 0.1668 0.5000 0.6060 (multiplicity 4)  4 Pd 2.33-2.51, 4 Au 2.44-2.50
Pd1 0.0000 0.0000 0.5000 (multiplicity 2)  8 Be 2.50-2.65
Pd2 0.1666 0.5000 0.9062 (multiplicity 4)  4 Be 2.33-2.42
Au1 0.1665 0.5000 0.2922 (multiplicity 4)  7 Be 2.44-2.58

Calculated values
Magnetization, μB per formula unit: 0.00

=====

Record 7
Pm10Er4Pu | PBE-GGA | relaxed

abc: 12.1883 12.1883 7.7107
angles: 90.00 90.00 90.00
Last column: nearest neighbours and their distance in Å.
Space group I4/m (No. 87)
Unique sites:
Pm1 0.0000 0.5000 0.2500 (multiplicity 4)  4 Er 3.26
Pm2 0.1038 0.1848 0.2422 (multiplicity 16)  1 Pu 3.19, 3 Er 3.36-3.47
Er1 0.0948 0.6932 0.5000 (multiplicity 8)  8 Pm 3.26-3.47
Pu1 0.0000 0.0000 0.0000 (multiplicity 2)  8 Pm 3.19

Calculated values
Magnetization, μB per formula unit: 0.37

=====

Record 8
Sm12YEr6 | PBE-GGA | relaxed

abc: 14.7287 14.7287 10.4010
angles: 90.00 90.00 120.00
Last column: nearest neighbours and their distance in Å.
Space group R-3 (No. 148, hexagonal axes)
Unique sites:
Sm1 0.0547 0.8010 0.0802 (multiplicity 18)  5 Er 3.38-3.64, 3 Sm 3.38-3.55, 1 Y 3.51
Sm2 0.0649 0.8383 0.4186 (multiplicity 18)  4 Er 3.35-3.74, 6 Sm 3.38-3.55
Y1 0.0000 0.0000 0.0000 (multiplicity 3)  6 Sm 3.51, 6 Er 3.80
Er1 0.0512 0.8362 0.7596 (multiplicity 18)  9 Sm 3.35-3.74

Calculated values
Magnetization, μB per formula unit: 0.00

=====

Record 9
Be2PtF | PBE-GGA | relaxed

abc: 5.3032 5.3032 6.1339
angles: 90.00 90.00 90.00
Last column: nearest neighbours and their distance in Å.
Space group I-42d (No. 122)
Unique sites:
Be1 0.1750 0.7500 0.1250 (multiplicity 8)  2 F 1.79
Pt1 0.0000 0.0000 0.5000 (multiplicity 4)  4 Be 2.31
F1 0.0000 0.0000 0.0000 (multiplicity 4)  4 Be 1.79

Calculated values
Magnetization, μB per formula unit: 0.00

=====

Record 10
Ac3Ce3PmSe8 | PBE-GGA | relaxed

abc: 8.5688 8.5688 21.5951
angles: 90.00 90.00 120.00
Last column: nearest neighbours and their distance in Å.
Space group R-3m (No. 166, hexagonal axes)
Unique sites:
Ac1 0.0000 0.5000 0.0000 (multiplicity 9)  6 Se 3.13
Ce1 0.0000 0.5000 0.5000 (multiplicity 9)  6 Se 2.99
Pm1 0.0000 0.0000 0.5000 (multiplicity 3)  6 Se 3.01
Se1 0.0000 0.0000 0.2448 (multiplicity 6)  3 Ce 2.99, 3 Ac 3.13
Se2 0.0016 0.5008 0.7548 (multiplicity 18)  2 Ce 2.99, 1 Pm 3.01, 2 Ac 3.13

Calculated values
Magnetization, μB per formula unit: 3.90

=====

Record 11
BeHg2Sb | PBE-GGA | relaxed

abc: 4.6595 4.1346 5.4610
angles: 90.00 112.28 90.00
Last column: nearest neighbours and their distance in Å.
Space group Pm (No. 6)
Unique sites:
Be1 0.0000 0.0000 0.0000 (multiplicity 1)  2 Sb 2.43, 2 Hg 2.45-2.48
Hg1 0.2130 0.5000 0.3992 (multiplicity 1)  2 Be 2.89, 2 Sb 2.90-2.95, 2 Hg 3.24
Hg2 0.5751 0.0000 0.1600 (multiplicity 1)  2 Be 2.45-2.48
Sb1 0.8747 0.5000 0.7494 (multiplicity 1)  2 Be 2.43

Calculated values
Magnetization, μB per formula unit: 0.00

=====

Record 12
CaErAlHg | PBE-GGA | relaxed

abc: 7.3874 7.3874 7.3874
angles: 90.00 90.00 90.00
Last column: nearest neighbours and their distance in Å.
Space group F-43m (No. 216)
Unique sites:
Ca1 0.0000 0.0000 0.0000 (multiplicity 4)  4 Hg 3.20, 4 Al 3.20
Er1 0.0000 0.0000 0.5000 (multiplicity 4)  4 Hg 3.20, 4 Al 3.20
Al1 0.2500 0.2500 0.2500 (multiplicity 4)  4 Er 3.20, 4 Ca 3.20
Hg1 0.2500 0.2500 0.7500 (multiplicity 4)  4 Er 3.20, 4 Ca 3.20

Calculated values
Magnetization, μB per formula unit: 0.00

=====

Record 13
SrZr5 | PBE-GGA | relaxed

abc: 5.2842 3.2141 18.4304
angles: 90.00 90.00 90.00
Last column: nearest neighbours and their distance in Å.
Space group Amm2 (No. 38)
Unique sites:
Sr1 0.0000 0.0000 0.0000 (multiplicity 2)  2 Sr 3.21, 6 Zr 3.42-3.50
Zr1 0.0000 0.0000 0.3243 (multiplicity 2)  10 Zr 3.14-3.27
Zr2 0.0000 0.0000 0.6768 (multiplicity 2)  10 Zr 3.10-3.25
Zr3 0.5000 0.0000 0.2318 (multiplicity 2)  12 Zr 3.09-3.25
Zr4 0.5000 0.0000 0.5885 (multiplicity 2)  6 Zr 3.09-3.21
Zr5 0.5000 0.0000 0.8818 (multiplicity 2)  8 Zr 3.20-3.27, 2 Sr 3.42

Calculated values
Magnetization, μB per formula unit: 0.00

=====

Record 14
Ce7Tl3Hg2 | PBE-GGA | relaxed

abc: 5.9401 5.2142 11.6116
angles: 90.00 94.57 90.00
Last column: nearest neighbours and their distance in Å.
Space group P2/m (No. 10)
Unique sites:
Ce1 0.0000 0.0000 0.0000 (multiplicity 1)  6 Ce 3.12-3.16
Ce2 0.0350 0.5000 0.1478 (multiplicity 2)  3 Ce 3.12-3.42, 1 Hg 3.18, 4 Tl 3.37-3.49
Ce3 0.1895 0.5000 0.4464 (multiplicity 2)  1 Ce 2.66
Ce4 0.4281 0.0000 0.1794 (multiplicity 2)  2 Hg 3.10, 1 Ce 3.16, 4 Tl 3.39-3.45
Tl1 0.0549 0.0000 0.6749 (multiplicity 2)  6 Ce 3.25-3.45, 2 Hg 3.28
Tl2 0.5000 0.5000 0.0000 (multiplicity 1)  8 Ce 3.37-3.49, 2 Hg 3.47
Hg1 0.3906 0.5000 0.7019 (multiplicity 2)  5 Ce 3.10-3.18, 3 Tl 3.28-3.47

Calculated values
Magnetization, μB per formula unit: 8.24

=====

Record 15
B5C7 | PBE-GGA | relaxed

abc: 8.7802 3.6059 5.4187
angles: 90.00 113.31 90.00
Last column: nearest neighbours and their distance in Å.
Space group C2 (No. 5)
Unique sites:
B1 0.0000 0.0000 0.0000 (multiplicity 2)  2 C 1.65, 2 B 1.79
B2 0.1661 0.5315 0.3521 (multiplicity 4)  3 C 1.65-1.66
B3 0.1829 0.2684 0.0640 (multiplicity 4)  2 C 1.56-1.57
C1 0.0000 0.0189 0.5000 (multiplicity 2)  4 C 1.55-1.56
C2 0.0088 0.7734 0.7421 (multiplicity 4)  2 C 1.52-1.56, 2 B 1.65-1.66
C3 0.1587 0.5182 0.8153 (multiplicity 4)  2 C 1.52-1.53, 2 B 1.56-1.57
C4 0.1600 0.2549 0.5936 (multiplicity 4)  2 C 1.53-1.55, 2 B 1.65-1.66

Calculated values
Magnetization, μB per formula unit: 0.00

=====

no.,N(E_F) (states/eV per cell),density (kg/m³),E (eV/atom)
1,3.31,1963,-2.115
2,11.85,7239,-5.820
3,6.10,9350,-7.361
4,12.02,9785,-4.678
5,15.42,14372,-6.436
6,7.66,10997,-4.463
7,53.60,6851,-4.475
8,88.04,7385,-4.518
9,4.69,8937,-4.762
10,66.93,6813,-6.046
11,1.21,9073,-1.904
12,8.16,7165,-3.032
13,11.01,5769,-7.161
14,34.83,9241,-4.136
15,5.02,2912,-7.811